(1)
Material: Dy2In2PRh4
Method: DFT, PBE
State: optimized geometry

Cell: 6.256 6.256 6.256 Å, 119.56 119.56 90.77°
Element x y z (fractional)
Dy 0.199 0.199 0.000
Dy 0.801 0.801 0.000
In 0.250 0.750 0.500
In 0.750 0.250 0.500
P 0.500 0.500 0.000
Rh 0.245 0.245 0.491
Rh 0.245 0.755 0.000
Rh 0.755 0.245 0.000
Rh 0.755 0.755 0.509

V, Å³ per cell: 174.3

***

(2)
Material: Y3HoTh3
Method: DFT, PBE
State: optimized geometry

Cell: 8.951 8.951 8.951 Å, 56.96 56.96 56.96°
Element x y z (fractional)
Y 0.076 0.816 0.284
Y 0.184 0.716 0.924
Y 0.284 0.076 0.816
Y 0.716 0.924 0.184
Y 0.816 0.284 0.076
Y 0.924 0.184 0.716
Ho 0.338 0.338 0.338
Ho 0.662 0.662 0.662
Th 0.062 0.581 0.730
Th 0.270 0.938 0.419
Th 0.419 0.270 0.938
Th 0.581 0.730 0.062
Th 0.730 0.062 0.581
Th 0.938 0.419 0.270

V, Å³ per cell: 471.6

***

(3)
Material: SiAg2F6
Method: DFT, PBE
State: optimized geometry

Cell: 5.802 5.923 9.787 Å, 90.00 124.79 90.00°
Element x y z (fractional)
Si 0.000 0.000 0.000
Si 0.000 0.500 0.500
Ag 0.276 0.047 0.758
Ag 0.276 0.453 0.258
Ag 0.724 0.547 0.742
Ag 0.724 0.953 0.242
F 0.078 0.066 0.194
F 0.078 0.434 0.694
F 0.231 0.724 0.584
F 0.231 0.776 0.084
F 0.267 0.173 0.036
F 0.267 0.327 0.536
F 0.733 0.673 0.464
F 0.733 0.827 0.964
F 0.769 0.224 0.916
F 0.769 0.276 0.416
F 0.922 0.566 0.306
F 0.922 0.934 0.806

Formation energy without anion corrections, eV per atom: -2.2272
V, Å³ per cell: 276.2

***

(4)
Material: Nd3PuS6
Method: DFT, PBE
State: optimized geometry

Cell: 11.330 4.093 11.565 Å, 90.00 107.94 90.00°
Element x y z (fractional)
Nd 0.075 0.250 0.169
Nd 0.181 0.750 0.506
Nd 0.340 0.250 0.919
Nd 0.660 0.750 0.081
Nd 0.819 0.250 0.494
Nd 0.925 0.750 0.831
Pu 0.456 0.250 0.318
Pu 0.544 0.750 0.682
S 0.023 0.250 0.388
S 0.096 0.250 0.930
S 0.253 0.750 0.281
S 0.315 0.750 0.751
S 0.392 0.250 0.542
S 0.417 0.750 0.102
S 0.583 0.250 0.898
S 0.608 0.750 0.458
S 0.685 0.250 0.249
S 0.747 0.250 0.719
S 0.904 0.750 0.070
S 0.977 0.750 0.612

Formation energy without anion corrections, eV per atom: -1.9065
V, Å³ per cell: 510.1

***

(5)
Material: ZrTlSb2
Method: DFT, PBE
State: optimized geometry

Cell: 7.457 7.457 7.457 Å, 90.00 90.00 90.00°
Element x y z (fractional)
Zr 0.000 0.000 0.000
Zr 0.000 0.500 0.500
Zr 0.500 0.000 0.500
Zr 0.500 0.500 0.000
Tl 0.250 0.250 0.750
Tl 0.250 0.750 0.250
Tl 0.750 0.250 0.250
Tl 0.750 0.750 0.750
Sb 0.000 0.000 0.500
Sb 0.000 0.500 0.000
Sb 0.250 0.250 0.250
Sb 0.250 0.750 0.750
Sb 0.500 0.000 0.000
Sb 0.500 0.500 0.500
Sb 0.750 0.250 0.750
Sb 0.750 0.750 0.250

Formation energy without anion corrections, eV per atom: 0.1977
V, Å³ per cell: 414.6

***

(6)
Material: Sm2ZnHg8
Method: DFT, PBE
State: optimized geometry

Cell: 9.156 9.156 6.732 Å, 109.71 109.71 30.86°
Element x y z (fractional)
Sm 0.205 0.205 0.197
Sm 0.795 0.795 0.803
Zn 0.500 0.500 0.500
Hg 0.008 0.008 0.231
Hg 0.169 0.169 0.678
Hg 0.369 0.369 0.634
Hg 0.384 0.384 0.100
Hg 0.616 0.616 0.900
Hg 0.631 0.631 0.366
Hg 0.831 0.831 0.322
Hg 0.992 0.992 0.769

V, Å³ per cell: 271.2

***

no.,electronic total energy (eV/atom)
1,-6.00
2,-6.33
3,-4.71
4,-7.25
5,-4.59
6,-1.42